i) Entry from Alexandria: crystalline LiScPb2 at its relaxed geometry (GGA-PBE).

Lattice parameters (Å, degrees): 5.275 5.275 3.450 90.07 90.07 94.56
Fractional positions:
Li: 0.000 0.000 0.000
Sc: 0.500 0.500 0.000
Pb: 0.000 0.500 0.500
Pb: 0.500 0.000 0.500

Output
- Crystal system: monoclinic
- DOS at the Fermi energy: 2.129 states/eV/cell

=====

ii) Entry from Alexandria: crystalline LiScPb2 at its relaxed geometry (GGA-PBE).

Lattice parameters (Å, degrees): 5.458 5.458 5.458 128.94 128.94 75.10
Fractional positions:
Li: 0.000 0.000 0.000
Sc: 0.500 0.500 0.000
Pb: 0.250 0.750 0.500
Pb: 0.750 0.250 0.500

Output
- Crystal system: tetragonal
- DOS at the Fermi energy: 1.425 states/eV/cell

=====

iii) Entry from Alexandria: crystalline LiScPb2 at its relaxed geometry (GGA-PBE).

Lattice parameters (Å, degrees): 5.269 5.269 5.269 60.00 60.00 60.00
Fractional positions:
Li: 0.000 0.000 0.000
Sc: 0.250 0.250 0.250
Pb: 0.500 0.500 0.500
Pb: 0.750 0.750 0.750

Output
- Crystal system: cubic
- DOS at the Fermi energy: 3.830 states/eV/cell

=====

Least stable = iii)

=====

i) Entry from Alexandria: crystalline LiScPb2 at its relaxed geometry (GGA-PBE).

Lattice parameters (Å, degrees): 6.927 6.927 6.927 36.52 36.52 36.52
Fractional positions:
Li: 0.000 0.000 0.000
Sc: 0.819 0.819 0.819
Pb: 0.248 0.248 0.248
Pb: 0.404 0.404 0.404

Output
- Crystal system: trigonal
- DOS at the Fermi energy: 2.714 states/eV/cell

=====

ii) Entry from Alexandria: crystalline LiScPb2 at its relaxed geometry (GGA-PBE).

Lattice parameters (Å, degrees): 3.360 3.360 8.706 90.00 90.00 90.00
Fractional positions:
Li: 0.000 0.000 0.000
Sc: 0.000 0.000 0.500
Pb: 0.500 0.500 0.246
Pb: 0.500 0.500 0.754

Output
- Crystal system: tetragonal
- DOS at the Fermi energy: 3.249 states/eV/cell

=====

iii) Entry from Alexandria: crystalline LiScPb2 at its relaxed geometry (GGA-PBE).

Lattice parameters (Å, degrees): 3.993 3.993 6.203 90.00 90.00 90.00
Fractional positions:
Li: 0.000 0.000 0.000
Sc: 0.500 0.500 0.715
Pb: 0.000 0.000 0.518
Pb: 0.500 0.500 0.203

Output
- Crystal system: tetragonal
- DOS at the Fermi energy: 3.551 states/eV/cell

=====

Least stable = i)

=====

i) Entry from Alexandria: crystalline LiScPb2 at its relaxed geometry (GGA-PBE).

Lattice parameters (Å, degrees): 5.050 5.050 6.150 101.09 101.09 40.20
Fractional positions:
Li: 0.000 0.000 0.000
Sc: 0.500 0.500 0.500
Pb: 0.255 0.255 0.758
Pb: 0.745 0.745 0.242

Output
- Crystal system: monoclinic
- DOS at the Fermi energy: 2.024 states/eV/cell

=====

ii) Entry from Alexandria: crystalline LiScPb2 at its relaxed geometry (GGA-PBE).

Lattice parameters (Å, degrees): 6.066 6.066 6.066 138.76 138.76 59.75
Fractional positions:
Li: 0.000 0.000 0.000
Sc: 0.750 0.250 0.500
Pb: 0.250 0.750 0.500
Pb: 0.500 0.500 0.000

Output
- Crystal system: tetragonal
- DOS at the Fermi energy: 3.446 states/eV/cell

=====

Least stable = i)

=====

i) Entry from Alexandria: crystalline LiScPb2 at its relaxed geometry (GGA-PBE).

Lattice parameters (Å, degrees): 9.993 9.993 9.993 19.74 19.74 19.74
Fractional positions:
Li: 0.000 0.000 0.000
Sc: 0.500 0.500 0.500
Pb: 0.253 0.253 0.253
Pb: 0.747 0.747 0.747

Output
- Crystal system: trigonal
- DOS at the Fermi energy: 2.827 states/eV/cell

=====

ii) Entry from Alexandria: crystalline LiScPb2 at its relaxed geometry (GGA-PBE).

Lattice parameters (Å, degrees): 3.361 4.224 6.759 90.00 90.87 90.00
Fractional positions:
Li: 0.000 0.000 0.000
Sc: 0.000 0.000 0.500
Pb: 0.496 0.500 0.246
Pb: 0.504 0.500 0.754

Output
- Crystal system: monoclinic
- DOS at the Fermi energy: 2.391 states/eV/cell

=====

Least stable = i)

=====

i) Entry from Alexandria: crystalline LiSc3Pb at its relaxed geometry (GGA-PBE).

Lattice parameters (Å, degrees): 5.529 5.529 5.529 90.00 90.00 90.00
Fractional positions:
Li: 0.000 0.000 0.000
Sc: 0.000 0.500 0.500
Sc: 0.500 0.000 0.500
Sc: 0.500 0.500 0.000
Pb: 0.500 0.500 0.500

Output
- Crystal system: cubic
- DOS at the Fermi energy: 6.006 states/eV/cell

=====

ii) Entry from Alexandria: crystalline LiSc3Pb at its relaxed geometry (GGA-PBE).

Lattice parameters (Å, degrees): 4.929 4.929 4.929 90.00 90.00 90.00
Fractional positions:
Li: 0.000 0.000 0.000
Sc: 0.000 0.000 0.500
Sc: 0.000 0.500 0.000
Sc: 0.500 0.000 0.000
Pb: 0.500 0.500 0.500

Output
- Crystal system: cubic
- DOS at the Fermi energy: 5.267 states/eV/cell

=====

Least stable = i)

=====

i) Entry from Alexandria: crystalline LiSc2Pb2 at its relaxed geometry (GGA-PBE).

Lattice parameters (Å, degrees): 7.661 7.661 7.661 131.78 69.55 133.09
Fractional positions:
Li: 0.250 0.250 0.000
Li: 0.750 0.750 0.000
Sc: 0.146 0.731 0.877
Sc: 0.354 0.231 0.586
Sc: 0.646 0.769 0.414
Sc: 0.854 0.269 0.123
Pb: 0.116 0.258 0.375
Pb: 0.384 0.758 0.142
Pb: 0.616 0.242 0.858
Pb: 0.884 0.742 0.625

Output
- Crystal system: orthorhombic
- DOS at the Fermi energy: 5.263 states/eV/cell

=====

ii) Entry from Alexandria: crystalline LiSc2Pb2 at its relaxed geometry (GGA-PBE).

Lattice parameters (Å, degrees): 7.397 7.397 4.387 90.00 90.00 90.00
Fractional positions:
Li: 0.000 0.000 0.000
Li: 0.500 0.500 0.000
Sc: 0.165 0.335 0.500
Sc: 0.335 0.835 0.500
Sc: 0.665 0.165 0.500
Sc: 0.835 0.665 0.500
Pb: 0.145 0.645 0.000
Pb: 0.355 0.145 0.000
Pb: 0.645 0.855 0.000
Pb: 0.855 0.355 0.000

Output
- Crystal system: tetragonal
- DOS at the Fermi energy: 7.754 states/eV/cell

=====

Least stable = i)